This record from Alexandria via LeMat-Bulk describes TlMoO2 at its PBEsol-relaxed geometry. The functional is SCAN.

a b c (Å): 4.0899 4.0899 4.0899
angles (deg): 60.00 60.00 60.00
Sites, in units of the cell vectors:
1 Mo 0.0000 0.0000 0.0000
2 O 0.2500 0.2500 0.2500
3 O 0.7500 0.7500 0.7500
4 Tl 0.5000 0.5000 0.5000

* polymorph energy (0 for the lowest one): 0.739 eV/atom
* energy relative to the elements, uncorrected: -0.013 eV per atom
* total magnetic moment: 0.00 μB/f.u.
* SG: Fm-3m, No. 225